BeVP2 | the Alexandria database | PBE | relaxed; formation energy from the elements = -0.054 eV per atom; volume = 17.57 Å³ per atom; DOS(E_F) = 0.67 states/eV per atom
1.0
-1.773 1.689 4.681
-4.778 0.810 -2.102
-4.601 -3.462 2.488
P V Be
4 2 2
Direct
0.604 0.125 0.250
0.146 0.625 0.250
0.375 0.396 0.750
0.875 0.854 0.750
0.000 0.000 0.000
0.750 0.250 0.500
0.500 0.500 0.000
0.250 0.750 0.500